Record 1
{"formula": "Rb3AcNp2Te6", "functional": "GGA-PBE", "state": "optimized geometry", "cell": [[8.147, -0.002, -0.001], [-4.073, 7.056, -0.001], [-1.360, -2.355, 8.550]], "species": ["Np", "Rb", "Rb", "Ac", "Te", "Te", "Te", "Rb", "Te", "Te", "Te", "Np"], "frac_coords": [[0.333, 0.667, 0.000], [0.500, 0.500, 0.500], [0.837, 0.163, 0.500], [0.000, 0.000, 0.000], [0.931, 0.583, 0.795], [0.720, 0.720, 0.204], [0.069, 0.417, 0.205], [0.163, 0.837, 0.500], [0.583, 0.931, 0.795], [0.417, 0.069, 0.205], [0.280, 0.280, 0.796], [0.667, 0.333, 0.000]], "crystal_system": "monoclinic", "dos_ef_per_ev_cell": 17.7, "e_form_raw_ev_per_atom": -1.0715, "total_magnetization_mub_per_cell": 8.00}

Record 2
{"formula": "AcNpRh2", "functional": "GGA-PBE", "state": "optimized geometry", "cell": [[-0.519, -2.402, 3.712], [-1.772, -4.079, -0.218], [4.453, -4.388, 0.453]], "species": ["Rh", "Rh", "Ac", "Np"], "frac_coords": [[0.713, 0.713, 0.862], [0.287, 0.287, 0.138], [0.500, 0.500, 0.500], [0.000, 0.000, 0.000]], "crystal_system": "trigonal", "dos_ef_per_ev_cell": 7.4, "total_magnetization_mub_per_cell": 3.32, "ef_ev_per_atom": -0.473}

Record 3
{"formula": "AcNpRh2", "functional": "GGA-PBE", "state": "optimized geometry", "cell": [[-0.503, -4.660, 1.836], [3.584, -1.942, 2.954], [-0.884, -0.690, 4.907]], "species": ["Np", "Ac", "Rh", "Rh"], "frac_coords": [[0.000, 0.000, 0.000], [0.500, 0.500, 0.500], [0.750, 0.750, 0.750], [0.250, 0.250, 0.250]], "crystal_system": "cubic", "dos_ef_per_ev_cell": 8.9, "total_magnetization_mub_per_cell": 3.45, "ef_ev_per_atom": -0.245}

Record 4
{"formula": "AcNpRh2", "functional": "GGA-PBE", "state": "optimized geometry", "cell": [[-1.463, -1.565, 2.807], [-3.165, -2.511, -3.050], [3.348, -3.780, -0.363]], "species": ["Ac", "Rh", "Rh", "Np"], "frac_coords": [[0.500, 0.500, 0.500], [0.000, 0.000, 0.500], [0.000, 0.500, 0.000], [0.500, 0.000, 0.000]], "crystal_system": "tetragonal", "dos_ef_per_ev_cell": 6.8, "total_magnetization_mub_per_cell": 3.63, "ef_ev_per_atom": -0.247}

Record 5
{"formula": "AcNpRh4", "functional": "GGA-PBE", "state": "optimized geometry", "cell": [[-0.652, 2.064, 4.981], [2.633, -2.192, 4.214], [4.066, 2.711, 2.369]], "species": ["Rh", "Rh", "Rh", "Ac", "Rh", "Np"], "frac_coords": [[0.122, 0.626, 0.626], [0.626, 0.626, 0.626], [0.626, 0.626, 0.122], [0.250, 0.250, 0.250], [0.626, 0.122, 0.626], [0.000, 0.000, 0.000]], "crystal_system": "cubic", "dos_ef_per_ev_cell": 10.7, "total_magnetization_mub_per_cell": 3.56, "ef_ev_per_atom": -0.393}

Record 6
{"formula": "AcNpRh2", "functional": "GGA-PBE", "state": "optimized geometry", "cell": [[-2.777, -0.282, -2.121], [-1.626, -1.980, 2.393], [-2.921, 6.050, 3.020]], "species": ["Rh", "Np", "Ac", "Rh"], "frac_coords": [[0.000, 0.000, 0.797], [0.500, 0.500, 0.000], [0.500, 0.500, 0.500], [0.000, 0.000, 0.203]], "crystal_system": "tetragonal", "dos_ef_per_ev_cell": 9.4, "total_magnetization_mub_per_cell": 3.36, "ef_ev_per_atom": -0.331}